{"formula": "HfZn4Ag", "functional": "PBE", "state": "relaxed", "lattice": [[-1.501, 3.342, -0.875], [-5.796, -2.317, 1.097], [1.330, 0.704, 8.513]], "species": ["Hf", "Hf", "Zn", "Zn", "Zn", "Zn", "Zn", "Zn", "Zn", "Zn", "Ag", "Ag"], "fractional_positions": [[0.403, 0.250, 0.806], [0.597, 0.750, 0.194], [0.000, 0.000, 0.000], [0.000, 0.500, 0.000], [0.157, 0.042, 0.313], [0.843, 0.542, 0.687], [0.157, 0.458, 0.313], [0.843, 0.958, 0.687], [0.573, 0.250, 0.146], [0.427, 0.750, 0.854], [0.738, 0.250, 0.476], [0.262, 0.750, 0.524]], "total_energy_ev_per_atom": -3.03, "dos_at_fermi_per_ev_atom": 0.31}

{"formula": "Hf2ZnAg", "functional": "PBE", "state": "relaxed", "lattice": [[-5.914, -2.258, -4.251], [3.396, -6.730, -1.149], [-2.507, -5.513, -0.423]], "species": ["Zn", "Zn", "Hf", "Hf", "Hf", "Hf", "Ag", "Ag"], "fractional_positions": [[0.500, 0.500, 0.000], [0.250, 0.750, 0.500], [0.618, 0.125, 0.250], [0.132, 0.625, 0.250], [0.375, 0.382, 0.750], [0.875, 0.868, 0.750], [0.000, 0.000, 0.000], [0.750, 0.250, 0.500]], "total_energy_ev_per_atom": -5.63, "dos_at_fermi_per_ev_atom": 1.01}

{"formula": "HfZnAg", "functional": "PBE", "state": "relaxed", "lattice": [[3.112, 0.000, 0.000], [0.000, 3.112, 0.000], [-1.556, -1.556, 5.566]], "species": ["Zn", "Hf", "Ag"], "fractional_positions": [[0.672, 0.672, 0.344], [0.007, 0.007, 0.013], [0.321, 0.321, 0.642]], "total_energy_ev_per_atom": -4.75, "dos_at_fermi_per_ev_atom": 0.88}

{"formula": "HfZn2Ag", "functional": "PBE", "state": "relaxed", "lattice": [[4.118, 0.000, 0.000], [0.000, 4.120, 0.000], [0.000, 0.000, 4.120]], "species": ["Zn", "Zn", "Hf", "Ag"], "fractional_positions": [[0.000, 0.000, 0.500], [0.000, 0.500, 0.000], [0.500, 0.500, 0.500], [0.500, 0.000, 0.000]], "total_energy_ev_per_atom": -3.87, "dos_at_fermi_per_ev_atom": 0.80}

{"formula": "Hf2Zn12Ag", "functional": "PBE", "state": "relaxed", "lattice": [[5.463, 0.000, 0.000], [0.000, 5.463, 0.000], [0.000, 0.000, 16.868]], "species": ["Hf", "Hf", "Hf", "Hf", "Zn", "Zn", "Zn", "Zn", "Zn", "Zn", "Zn", "Zn", "Zn", "Zn", "Zn", "Zn", "Zn", "Zn", "Zn", "Zn", "Zn", "Zn", "Zn", "Zn", "Zn", "Zn", "Zn", "Zn", "Ag", "Ag"], "fractional_positions": [[0.500, 0.000, 0.258], [0.000, 0.500, 0.258], [0.000, 0.500, 0.742], [0.500, 0.000, 0.742], [0.500, 0.500, 0.796], [0.000, 0.000, 0.796], [0.750, 0.750, 0.891], [0.250, 0.750, 0.891], [0.000, 0.000, 0.342], [0.250, 0.750, 0.109], [0.832, 0.332, 0.567], [0.500, 0.500, 0.342], [0.250, 0.250, 0.891], [0.750, 0.750, 0.109], [0.332, 0.168, 0.567], [0.668, 0.168, 0.433], [0.000, 0.000, 0.658], [0.168, 0.332, 0.433], [0.250, 0.250, 0.109], [0.832, 0.668, 0.433], [0.668, 0.832, 0.567], [0.000, 0.000, 0.204], [0.168, 0.668, 0.567], [0.500, 0.500, 0.658], [0.750, 0.250, 0.891], [0.500, 0.500, 0.204], [0.332, 0.832, 0.433], [0.750, 0.250, 0.109], [0.500, 0.000, 0.000], [0.000, 0.500, 0.000]], "total_energy_ev_per_atom": -2.51, "dos_at_fermi_per_ev_atom": 0.52}

{"formula": "Hf3ZnAg", "functional": "PBE", "state": "relaxed", "lattice": [[5.067, 0.000, 0.000], [0.000, 5.067, 0.000], [0.000, 0.000, 5.067]], "species": ["Zn", "Hf", "Hf", "Hf", "Ag"], "fractional_positions": [[0.500, 0.500, 0.500], [0.000, 0.500, 0.000], [0.000, 0.000, 0.500], [0.500, 0.000, 0.000], [0.000, 0.000, 0.000]], "total_energy_ev_per_atom": -5.70, "dos_at_fermi_per_ev_atom": 1.27}